DFT (PBE-GGA) results for crystalline Ac2DyScHg6 at its relaxed geometry.

Unit cell a=10.9704 b=10.9704 c=10.9704 alpha=90.00 beta=90.00 gamma=90.00
Space group Fm-3m (No. 225)
Symmetry-distinct sites (fractional):
Ac 0.2500 0.2500 0.2500 x8
Dy 0.0000 0.0000 0.0000 x4
Sc 0.0000 0.0000 0.5000 x4
Hg 0.0000 0.0000 0.2558 x24

Values from the calculation:
- total moment (μB per cell) = 0.00
- DFT formation energy (eV/atom) = -0.021
- calculated volume (Å³/atom) = 33.0

=====

DFT (PBE-GGA) results for crystalline Ac2DyHgSe5 at its relaxed geometry.

Unit cell a=4.2607 b=18.2185 c=13.0382 alpha=90.00 beta=90.00 gamma=90.00
Space group Cmc2_1 (No. 36)
Symmetry-distinct sites (fractional):
Ac 0.0000 0.1194 0.0000 x4
Ac 0.0000 0.1329 0.6229 x4
Dy 0.0000 0.1970 0.3219 x4
Hg 0.0000 0.4611 0.7720 x4
Se 0.0000 0.0460 0.3934 x4
Se 0.0000 0.2911 0.9738 x4
Se 0.0000 0.3072 0.6672 x4
Se 0.0000 0.3538 0.3147 x4
Se 0.0000 0.4957 0.0797 x4

Values from the calculation:
- total moment (μB per cell) = 0.00
- energy relative to the elements, uncorrected (eV per formula unit) = -14.13
- calculated volume (Å³/atom) = 28.1

=====

DFT (PBE-GGA) results for crystalline AcDy2Sn2Hg2 at its relaxed geometry.

Unit cell a=5.0748 b=5.0748 c=27.5265 alpha=90.00 beta=90.00 gamma=120.00
Space group R-3m (No. 166, hexagonal axes)
Symmetry-distinct sites (fractional):
Ac 0.0000 0.0000 0.0000 x3
Dy 0.0000 0.0000 0.1330 x6
Sn 0.0000 0.0000 0.2621 x6
Hg 0.0000 0.0000 0.4372 x6

Values from the calculation:
- total moment (μB per cell) = 0.00
- DFT formation energy (eV/atom) = -0.373
- calculated volume (Å³/atom) = 29.2

=====

DFT (PBE-GGA) results for crystalline AcTbDyHg at its relaxed geometry.

Unit cell a=7.8883 b=7.8883 c=7.8883 alpha=90.00 beta=90.00 gamma=90.00
Space group F-43m (No. 216)
Symmetry-distinct sites (fractional):
Ac 0.0000 0.0000 0.0000 x4
Tb 0.2500 0.2500 0.2500 x4
Dy 0.2500 0.2500 0.7500 x4
Hg 0.0000 0.0000 0.5000 x4

Values from the calculation:
- total moment (μB per cell) = 0.00
- DFT formation energy (eV/atom) = 0.049
- calculated volume (Å³/atom) = 30.7

=====

DFT (PBE-GGA) results for crystalline Ac2DyHgTe5 at its relaxed geometry.

Unit cell a=4.5452 b=19.5594 c=13.7651 alpha=90.00 beta=90.00 gamma=90.00
Space group Cmc2_1 (No. 36)
Symmetry-distinct sites (fractional):
Ac 0.0000 0.1218 0.0000 x4
Ac 0.0000 0.1245 0.6217 x4
Dy 0.0000 0.1889 0.3191 x4
Hg 0.0000 0.4339 0.7809 x4
Te 0.0000 0.0392 0.4022 x4
Te 0.0000 0.2942 0.9745 x4
Te 0.0000 0.2978 0.6566 x4
Te 0.0000 0.3503 0.3141 x4
Te 0.0000 0.4956 0.5933 x4

Values from the calculation:
- total moment (μB per cell) = 0.00
- energy relative to the elements, uncorrected (eV per formula unit) = -10.99
- calculated volume (Å³/atom) = 34.0

=====

DFT (PBE-GGA) results for crystalline AcDyThHg at its relaxed geometry.

Unit cell a=7.9238 b=7.9238 c=7.9238 alpha=90.00 beta=90.00 gamma=90.00
Space group F-43m (No. 216)
Symmetry-distinct sites (fractional):
Ac 0.0000 0.0000 0.0000 x4
Dy 0.2500 0.2500 0.2500 x4
Th 0.2500 0.2500 0.7500 x4
Hg 0.0000 0.0000 0.5000 x4

Values from the calculation:
- total moment (μB per cell) = 0.00
- DFT formation energy (eV/atom) = 0.115
- calculated volume (Å³/atom) = 31.1

=====

DFT (PBE-GGA) results for crystalline AcDyTmHg at its relaxed geometry.

Unit cell a=7.8457 b=7.8457 c=7.8457 alpha=90.00 beta=90.00 gamma=90.00
Space group F-43m (No. 216)
Symmetry-distinct sites (fractional):
Ac 0.0000 0.0000 0.0000 x4
Dy 0.2500 0.2500 0.2500 x4
Tm 0.2500 0.2500 0.7500 x4
Hg 0.0000 0.0000 0.5000 x4

Values from the calculation:
- total moment (μB per cell) = 0.00
- DFT formation energy (eV/atom) = 0.074
- calculated volume (Å³/atom) = 30.2

=====

DFT (PBE-GGA) results for crystalline AcDyYHg at its relaxed geometry.

Unit cell a=7.8891 b=7.8891 c=7.8891 alpha=90.00 beta=90.00 gamma=90.00
Space group F-43m (No. 216)
Symmetry-distinct sites (fractional):
Ac 0.0000 0.0000 0.0000 x4
Dy 0.2500 0.2500 0.2500 x4
Y 0.2500 0.2500 0.7500 x4
Hg 0.0000 0.0000 0.5000 x4

Values from the calculation:
- total moment (μB per cell) = 0.00
- DFT formation energy (eV/atom) = 0.050
- calculated volume (Å³/atom) = 30.7

=====

DFT (PBE-GGA) results for crystalline AcDy2Ho4 at its relaxed geometry.

Unit cell a=7.1311 b=8.5985 c=8.8958 alpha=114.27 beta=101.36 gamma=101.73
Space group P1 (No. 1)
Symmetry-distinct sites (fractional):
Ac 0.0000 0.0000 0.0000 x1
Ac 0.4123 0.4514 0.1594 x1
Dy 0.2118 0.1162 0.7028 x1
Dy 0.3300 0.7177 0.5739 x1
Dy 0.6909 0.2928 0.4329 x1
Dy 0.9145 0.4572 0.1683 x1
Ho 0.1015 0.5554 0.8321 x1
Ho 0.1908 0.2963 0.4406 x1
Ho 0.3055 0.8938 0.3000 x1
Ho 0.5035 0.9957 0.0018 x1
Ho 0.6035 0.5566 0.8309 x1
Ho 0.7089 0.1194 0.7053 x1
Ho 0.8064 0.8914 0.3017 x1
Ho 0.8298 0.7121 0.5688 x1

Values from the calculation:
- total moment (μB per cell) = 0.00
- relative energy among the computed polymorphs (meV/atom) = 0
- DFT formation energy (eV/atom) = 0.053
- calculated volume (Å³/atom) = 33.0

=====

DFT (PBE-GGA) results for crystalline AcDyHo at its relaxed geometry.

Unit cell a=5.0431 b=5.0431 c=8.8642 alpha=90.00 beta=90.00 gamma=90.00
Space group P4/nmm (No. 129, origin choice 2)
Symmetry-distinct sites (fractional):
Ac 0.2500 0.2500 0.1805 x2
Dy 0.2500 0.2500 0.7720 x2
Ho 0.2500 0.7500 0.5000 x2

Values from the calculation:
- total moment (μB per cell) = 0.03
- relative energy among the computed polymorphs (meV/atom) = 170
- DFT formation energy (eV/atom) = 0.234
- calculated volume (Å³/atom) = 37.6

=====

DFT (PBE-GGA) results for crystalline Ac2Dy5Ho12 at its relaxed geometry.

Unit cell a=17.1957 b=7.0880 c=10.8452 alpha=90.00 beta=102.17 gamma=90.00
Space group C2/m (No. 12)
Symmetry-distinct sites (fractional):
Ac 0.0000 0.2401 0.0000 x4
Dy 0.0000 0.5000 0.5000 x2
Dy 0.2296 0.5000 0.9952 x4
Dy 0.2315 0.5000 0.4959 x4
Ho 0.0473 0.5000 0.2642 x4
Ho 0.0552 0.0000 0.3787 x4
Ho 0.1247 0.2467 0.7167 x8
Ho 0.1858 0.2312 0.2256 x8

Values from the calculation:
- total moment (μB per cell) = 0.00
- relative energy among the computed polymorphs (meV/atom) = 167
- DFT formation energy (eV/atom) = 0.287
- calculated volume (Å³/atom) = 34.0

=====

DFT (PBE-GGA) results for crystalline Ac8DyHo2 at its relaxed geometry.

Unit cell a=5.8170 b=9.5546 c=16.6085 alpha=90.00 beta=90.00 gamma=90.00
Space group Immm (No. 71)
Symmetry-distinct sites (fractional):
Ac 0.0000 0.0000 0.1491 x4
Ac 0.0000 0.2106 0.3461 x8
Ac 0.0000 0.3064 0.0000 x4
Dy 0.0000 0.5000 0.5000 x2
Ho 0.0000 0.5000 0.2027 x4

Values from the calculation:
- total moment (μB per cell) = 0.00
- DFT formation energy (eV/atom) = 0.140
- calculated volume (Å³/atom) = 42.0

=====

Calculated total energy in order - -84.677; -178.714; -73.593; -53.789; -159.291; -63.881; -52.753; -61.112; -62.510; -25.174; -161.433; -90.173 eV for the cell shown